[1]
{"formula": "Sr2FeHg2", "functional": "PBE", "state": "relaxed", "de_polymorph_ev_per_atom": 0.133, "energy_ev_per_atom": -2.32, "total_magnetization_mub_per_cell": 2.8, "dos_ef_per_ev_cell": 8.51, "lattice": [[-1.101, 4.097, -4.729], [-5.174, 2.104, 3.028], [-0.891, 5.894, 1.047]], "species": ["Sr", "Sr", "Hg", "Hg", "Fe"], "fractional_positions": [[0.750, 0.250, 0.500], [0.250, 0.750, 0.500], [0.327, 0.327, 0.347], [0.673, 0.673, 0.653], [0.000, 0.000, 0.000]]}

[2]
{"formula": "Sr2FeHg", "functional": "PBE", "state": "relaxed", "de_polymorph_ev_per_atom": 0.100, "energy_ev_per_atom": -2.84, "total_magnetization_mub_per_cell": 2.7, "dos_ef_per_ev_cell": 5.94, "lattice": [[5.591, -0.014, -0.027], [0.026, 5.590, -0.027], [0.015, 0.015, 3.829]], "species": ["Fe", "Hg", "Sr", "Sr"], "fractional_positions": [[0.500, 0.000, 0.500], [0.000, 0.500, 0.500], [0.000, 0.000, 0.000], [0.500, 0.500, 0.000]]}

[3]
{"formula": "Sr2FeHg", "functional": "PBE", "state": "relaxed", "de_polymorph_ev_per_atom": 0.363, "energy_ev_per_atom": -2.57, "total_magnetization_mub_per_cell": 4.2, "dos_ef_per_ev_cell": 12.89, "lattice": [[-2.686, 6.398, -4.949], [-7.667, -0.352, 3.705], [-4.091, 5.389, 1.848]], "species": ["Sr", "Sr", "Sr", "Sr", "Hg", "Hg", "Fe", "Fe"], "fractional_positions": [[0.609, 0.125, 0.250], [0.141, 0.625, 0.250], [0.375, 0.391, 0.750], [0.875, 0.859, 0.750], [0.000, 0.000, 0.000], [0.750, 0.250, 0.500], [0.500, 0.500, 0.000], [0.250, 0.750, 0.500]]}